Record 1
Entry from the Open Quantum Materials Database: a geometry-optimized Sm2ErAl7Cu2 structure (PBE).

Cell: 5.5324 5.5324 25.6161 Å, 90.00 90.00 120.00°
Closest atoms and distances in Å follow each position.
Space group R-3m (No. 166, hexagonal axes)
Asymmetric unit:
Sm  0.0000  0.0000  0.1417 (multiplicity 6)  12 Al 3.21-3.31, 3 Sm 3.44
Er  0.0000  0.0000  0.0000 (multiplicity 3)  6 Cu 3.19, 12 Al 3.41
Al  0.0000  0.0000  0.5000 (multiplicity 3)  6 Al 2.80
Al  0.0059  0.5030  0.9222 (multiplicity 18)  2 Cu 2.53-2.58, 5 Al 2.72-2.82
Cu  0.0000  0.0000  0.3353 (multiplicity 6)  6 Al 2.53-2.58

Uncorrected energy   -0.3265 Ry/atom

---

Record 2
Entry from the Open Quantum Materials Database: a geometry-optimized Er2TmAl3CuSn2 structure (PBE).

Cell: 4.2378 12.5542 7.2602 Å, 90.00 90.00 90.00°
Closest atoms and distances in Å follow each position.
Space group Amm2 (No. 38)
Asymmetric unit:
Er  0.0000  0.1931  0.0000 (multiplicity 4)  1 Cu 2.81, 4 Sn 3.09
Tm  0.0000  0.0000  0.5792 (multiplicity 2)  1 Cu 2.79, 4 Sn 3.09
Al  0.5000  0.0000  0.9702 (multiplicity 2)  2 Cu 2.67, 2 Al 2.81, 2 Sn 2.90
Al  0.5000  0.1120  0.3054 (multiplicity 4)  2 Cu 2.67, 2 Al 2.81, 2 Sn 2.90
Cu  0.0000  0.0000  0.1948 (multiplicity 2)  6 Al 2.67, 1 Tm 2.79, 2 Er 2.81
Sn  0.5000  0.1662  0.6931 (multiplicity 4)  3 Al 2.90, 2 Tm 3.09, 4 Er 3.09

Uncorrected energy   -0.3374 Ry/atom

---

Record 3
Entry from the Open Quantum Materials Database: a geometry-optimized ErTm2Al3CuSn2 structure (PBE).

Cell: 4.2326 12.5608 7.2400 Å, 90.00 90.00 90.00°
Closest atoms and distances in Å follow each position.
Space group Amm2 (No. 38)
Asymmetric unit:
Er  0.0000  0.0000  0.0000 (multiplicity 2)  1 Cu 2.81, 4 Sn 3.09
Tm  0.0000  0.1931  0.4207 (multiplicity 4)  1 Cu 2.79, 4 Sn 3.08-3.09
Al  0.5000  0.0000  0.3892 (multiplicity 2)  2 Cu 2.66, 2 Al 2.81, 2 Sn 2.90
Al  0.5000  0.1118  0.7252 (multiplicity 4)  2 Cu 2.67, 2 Al 2.81, 2 Sn 2.89-2.90
Cu  0.0000  0.0000  0.6121 (multiplicity 2)  6 Al 2.66-2.67, 2 Tm 2.79, 1 Er 2.81
Sn  0.5000  0.1672  0.1138 (multiplicity 4)  3 Al 2.89-2.90, 4 Tm 3.08-3.09, 2 Er 3.09

Uncorrected energy   -0.3363 Ry/atom

---

Record 4
Entry from the Open Quantum Materials Database: a geometry-optimized TbEr2Al7Cu2 structure (PBE).

Cell: 5.4663 5.4663 25.3804 Å, 90.00 90.00 120.00°
Closest atoms and distances in Å follow each position.
Space group R-3m (No. 166, hexagonal axes)
Asymmetric unit:
Tb  0.0000  0.0000  0.0000 (multiplicity 3)  6 Cu 3.16, 12 Al 3.39
Er  0.0000  0.0000  0.1421 (multiplicity 6)  12 Al 3.17-3.24, 3 Er 3.39
Al  0.0000  0.0000  0.5000 (multiplicity 3)  6 Al 2.74
Al  0.0061  0.5030  0.9209 (multiplicity 18)  2 Cu 2.53-2.57, 5 Al 2.68-2.78
Cu  0.0000  0.0000  0.3352 (multiplicity 6)  6 Al 2.53-2.57

Uncorrected energy   -0.3262 Ry/atom

---

- The highest uncorrected energy belongs to which entry?
  TbEr2Al7Cu2